Cr2PW after structural relaxation, computed with PBE-GGA.

## Properties
Size of the total moment = 0.95 μB per cell
Energy of formation = -0.06 eV per atom

```
4
Lattice="-1.0227 1.8857 2.1815 -2.8181 -0.1632 -1.1801 -1.0834 -4.2627 3.1769" Properties=species:S:1:pos:R:3 pbc="T T T"
P -2.1912 -0.2044 1.2949
W -2.7330 -2.3357 2.8833
Cr -0.0223 -0.0879 0.0655
Cr -0.5194 -2.0434 1.5229
```

Cr2PW after structural relaxation, computed with PBE-GGA.

## Properties
Size of the total moment = 0.01 μB per cell
Energy of formation = 0.05 eV per atom

```
4
Lattice="-1.4106 2.3169 0.0348 -1.4957 -1.9865 1.0844 2.7845 1.5938 6.7604" Properties=species:S:1:pos:R:3 pbc="T T T"
W 0.6353 1.3606 5.6299
Cr 0.0803 0.0459 0.1949
Cr 1.3120 0.7510 3.1854
P -0.7570 0.5637 2.2497
```

| no. | DOS at the Fermi energy (states/eV/atom) |
| --- | --- |
| 1 | 0.86 |
| 2 | 1.12 |